Computed, not measured: a PBEsol-optimized structure of CaZnPd at the SCAN level of DFT.

Values from the calculation:
ΔE_f	-0.61	eV per atom
total magnetization	0.000	μB/atom
crystal system	hexagonal
Fermi-level density of states	1.001	states/eV/f.u.

abc: 4.3295 4.3295 3.7756
angles: 90.00 90.00 120.00
Space group P-6m2 (No. 187)
Asymmetric unit:
Ca1 0.0000 0.0000 0.0000
Zn1 0.3333 0.6667 0.5000
Pd1 0.6667 0.3333 0.5000